# Tb4Dy3Sc3

A geometry-optimized Tb4Dy3Sc3 structure (PBE-GGA, Alexandria).

a b c (Å): 3.636 9.043 9.043
angles (deg): 89.55 90.00 90.00
Sites, in units of the cell vectors:
Tb 0.000 0.000 0.000
Tb 0.000 0.255 0.255
Tb 0.000 0.487 0.750
Tb 0.000 0.750 0.487
Dy 0.000 0.126 0.622
Dy 0.000 0.622 0.126
Dy 0.500 0.793 0.793
Sc 0.500 0.294 0.957
Sc 0.500 0.454 0.454
Sc 0.500 0.957 0.294

Summary:
As for the crystal system: orthorhombic. The calculation puts the formation energy at 0.092 eV/atom. Its space group is No. 38.

# Tb8Dy5Sc

A geometry-optimized Tb8Dy5Sc structure (PBE-GGA, Alexandria).

a b c (Å): 8.386 8.386 8.386
angles (deg): 110.88 110.88 106.68
Sites, in units of the cell vectors:
Tb 0.160 0.429 0.096
Tb 0.333 0.064 0.904
Tb 0.418 0.161 0.395
Tb 0.571 0.667 0.732
Tb 0.767 0.024 0.605
Tb 0.839 0.233 0.257
Tb 0.936 0.840 0.268
Tb 0.976 0.582 0.743
Dy 0.000 0.000 0.000
Dy 0.214 0.316 0.685
Dy 0.471 0.786 0.102
Dy 0.631 0.529 0.315
Dy 0.684 0.369 0.898
Sc 0.250 0.750 0.500

Summary:
As for the crystal system: tetragonal. The calculation puts the formation energy at 0.263 eV/atom. Its space group is No. 82.

# Tb4DySc3

A geometry-optimized Tb4DySc3 structure (PBE-GGA, Alexandria).

a b c (Å): 10.940 7.043 6.077
angles (deg): 90.00 90.00 90.00
Sites, in units of the cell vectors:
Tb 0.000 0.132 0.000
Tb 0.000 0.868 0.490
Tb 0.245 0.868 0.837
Tb 0.255 0.132 0.337
Tb 0.500 0.132 0.990
Tb 0.500 0.868 0.500
Tb 0.745 0.132 0.337
Tb 0.755 0.868 0.837
Dy 0.000 0.382 0.505
Dy 0.500 0.618 0.005
Sc 0.000 0.618 0.004
Sc 0.249 0.382 0.833
Sc 0.251 0.618 0.333
Sc 0.500 0.382 0.504
Sc 0.749 0.618 0.333
Sc 0.751 0.382 0.833

Summary:
The calculation puts the excess energy over the best structure of this formula in the dataset at 0 meV/atom. As for the crystal system: orthorhombic. The calculation puts the formation energy at 0.033 eV/atom. Its space group is No. 31.

It is found that the volume values, taken in the order of the records, are 29.73 32.37 29.26 A^3/atom.